Dy2HoTmP4 | PBE | relaxed

Values from the calculation:
Calculated formation energy in eV per formula unit: -12.9
V in Å³ per atom: 22.41

Cell: 6.9046 3.9887 6.9055 Å, 90.00 109.47 90.00°
Positions (direct):
1 Dy 0.0000 0.0000 0.0000
2 Dy 0.0000 0.5000 0.5000
3 Ho 0.5000 0.0000 0.5000
4 Tm 0.5000 0.5000 0.0000
5 P 0.2520 0.5000 0.2496
6 P 0.2529 0.0000 0.7521
7 P 0.7471 0.0000 0.2479
8 P 0.7480 0.5000 0.7504